(1)
This record from Alexandria describes a relaxed Sb3Ru crystal. The functional is PBE.

The structure belongs to space group Imm2 (No. 44); the cell edges are 3.1907, 11.8464 and 5.4187 Å and the angles 90.00°, 90.00° and 90.00°. The asymmetric unit holds Sb at (0.0000, 0.0000, 0.0000), Sb at (0.0000, 0.1637, 0.5841) and Ru at (0.0000, 0.5000, 0.8920).

The excess energy over the best structure of this formula in the dataset comes out at 0.092 eV/atom. As for the energy relative to the elements, uncorrected: 2.075 kcal/mol of atoms. As for the uncorrected energy: -5.321 eV/atom.

(2)
This record from Alexandria describes a relaxed Sb2Ru crystal. The functional is PBE.

The structure belongs to space group P-62m (No. 189); the cell edges are 7.5668, 7.5668 and 3.7276 Å and the angles 90.00°, 90.00° and 120.00°. The asymmetric unit holds Sb at (0.0000, 0.2675, 0.0000), Sb at (0.0000, 0.6014, 0.5000), Ru at (0.0000, 0.0000, 0.5000) and Ru at (0.3333, 0.6667, 0.0000).

As for the energy relative to the elements, uncorrected: 1.705 kcal/mol of atoms. As for the uncorrected energy: -5.766 eV/atom.

(3)
This record from Alexandria describes a relaxed SbRu crystal. The functional is PBE.

The structure belongs to space group Pnma (No. 62); the cell edges are 5.9064, 3.8618 and 6.6058 Å and the angles 90.00°, 90.00° and 90.00°. The asymmetric unit holds Sb at (0.1995, 0.2500, 0.0843) and Ru at (0.0058, 0.2500, 0.7059).

As for the energy relative to the elements, uncorrected: -3.274 kcal/mol of atoms. As for the uncorrected energy: -6.841 eV/atom.

(4)
This record from Alexandria describes a relaxed SbRu crystal. The functional is PBE.

The structure belongs to space group Pmmn (No. 59, origin choice 2); the cell edges are 3.2193, 15.1854 and 4.4369 Å and the angles 90.00°, 90.00° and 90.00°. The asymmetric unit holds Sb at (0.2500, 0.0853, 0.1184), Sb at (0.2500, 0.7500, 0.5950), Ru at (0.2500, 0.2500, 0.8999) and Ru at (0.2500, 0.5799, 0.3819).

As for the energy relative to the elements, uncorrected: 2.268 kcal/mol of atoms. As for the uncorrected energy: -6.601 eV/atom.